Computed, not measured: an optimized crystal structure of TcPb3 at the PBEsol level of DFT.

The value obtained for the offset from the most stable computed form is 0.0000 eV/atom. For the density of states at the Fermi level, the calculation gives 5.6 states/eV per cell. The calculated formation energy comes out at 0.431 eV per atom. The crystal system is orthorhombic.

The space group is Imm2 (No. 44) and the conventional cell measures 3.476, 8.692 and 6.313 Å, with angles of 90.00, 90.00 and 90.00 degrees. Symmetry generates all atoms from Tc at (0.000, 0.000, 0.000), Pb at (0.000, 0.309, 0.749) and Pb at (0.000, 0.500, 0.162).

=====

Computed, not measured: an optimized crystal structure of FeTc2Pt at the PBEsol level of DFT.

For the density of states at the Fermi level, the calculation gives 8.1 states/eV per cell. The calculated formation energy comes out at -0.053 eV per atom. The crystal system is tetragonal.

The space group is I-4m2 (No. 119) and the conventional cell measures 3.796, 3.796 and 7.453 Å, with angles of 90.00, 90.00 and 90.00 degrees. Symmetry generates all atoms from Fe at (0.000, 0.000, 0.000), Tc at (0.000, 0.000, 0.500), Tc at (0.000, 0.500, 0.250) and Pt at (0.000, 0.500, 0.750).